Material: KErBeS3
Method: DFT, GGA-PBE
State: optimized geometry

abc: 3.8324 8.8717 9.0662
angles: 108.49 90.00 90.00
Last column: nearest neighbours and their distance in Å.
Fractional positions:
S1 0.2500 0.1153 0.8399  1 Be 2.07
S2 0.7500 0.1687 0.5298  3 Be 2.12-2.27
S3 0.7500 0.4586 0.1623  3 Er 2.69
S4 0.2500 0.8313 0.4702  3 Be 2.12-2.27
S5 0.7500 0.8847 0.1601  1 Be 2.07
S6 0.2500 0.5414 0.8377  3 Er 2.69
Er1 0.7500 0.3334 0.8508  6 S 2.69-2.81
Er2 0.2500 0.6666 0.1492  6 S 2.69-2.81
K1 0.2500 0.2001 0.2309  7 S 3.20-3.40
K2 0.7500 0.7999 0.7691  7 S 3.20-3.40
Be1 0.7500 0.9242 0.3973  4 S 2.07-2.27
Be2 0.2500 0.0758 0.6027  4 S 2.07-2.27

Values from the calculation:
magnetic moment	0.000	μB per cell
ρ	3.54	g/cm³
uncorrected energy	-5.197	eV/atom
D(E_F)	0.0000	states/eV/atom
uncorrected formation energy	-151.4	kJ per mole of atoms

Material: SmTmSc
Method: DFT, GGA-PBE
State: optimized geometry

abc: 3.4858 3.4858 16.6368
angles: 90.00 90.00 120.00
Last column: nearest neighbours and their distance in Å.
Fractional positions:
Sc1 0.3333 0.6667 0.6280  3 Tm 3.33, 3 Sm 3.42, 6 Sc 3.49
Sc2 0.6667 0.3333 0.1280  3 Tm 3.33, 3 Sm 3.42, 6 Sc 3.49
Sm1 0.3333 0.6667 0.2942  3 Sc 3.42, 6 Sm 3.49, 3 Tm 3.53
Sm2 0.6667 0.3333 0.7942  3 Sc 3.42, 6 Sm 3.49, 3 Tm 3.53
Tm1 0.0000 0.0000 0.9684  3 Sc 3.33, 6 Tm 3.49, 3 Sm 3.53
Tm2 0.0000 0.0000 0.4684  3 Sc 3.33, 6 Tm 3.49, 3 Sm 3.53

Values from the calculation:
magnetic moment	0.000	μB per cell
ρ	6.91	g/cm³
DFT formation energy	35	meV/atom
uncorrected energy	-5.139	eV/atom
D(E_F)	1.2379	states/eV/atom

Material: HoTmSe2
Method: DFT, GGA-PBE
State: optimized geometry

abc: 4.2100 6.3531 9.0907
angles: 90.00 90.01 89.99
Last column: nearest neighbours and their distance in Å.
Fractional positions:
Se1 0.7008 0.5387 0.7060  3 Ho 2.74-2.86, 1 Tm 2.97
Se2 0.7012 0.6636 0.2788  3 Tm 2.73-2.83, 1 Ho 2.76
Se3 0.2009 0.1636 0.9372  3 Tm 2.73-2.83, 1 Ho 2.76
Se4 0.2011 0.0387 0.5100  3 Ho 2.74-2.86, 1 Tm 2.97
Ho1 0.7010 0.2967 0.4411  4 Se 2.74-2.86
Ho2 0.2008 0.7967 0.7749  4 Se 2.74-2.86
Tm1 0.7009 0.4344 0.0249  4 Se 2.73-2.97
Tm2 0.2011 0.9344 0.1910  4 Se 2.73-2.97

Values from the calculation:
magnetic moment	0.000	μB per cell
ρ	6.72	g/cm³
uncorrected energy	-5.360	eV/atom
D(E_F)	0.2361	states/eV/atom
uncorrected formation energy	-130.8	kJ per mole of atoms

Material: EuGeAu
Method: DFT, GGA-PBE
State: optimized geometry

abc: 3.8257 4.5958 4.5958
angles: 120.00 90.00 90.00
Last column: nearest neighbours and their distance in Å.
Fractional positions:
Eu1 0.6667 0.6667 0.3333  6 Au 3.27, 6 Ge 3.27
Au1 0.1666 0.0000 0.0000  3 Ge 2.65
Ge1 0.1667 0.3333 0.6667  3 Au 2.65

Values from the calculation:
magnetic moment	6.961	μB per cell
ρ	10.00	g/cm³
DFT formation energy	-720	meV/atom
uncorrected energy	-6.776	eV/atom
D(E_F)	2.7748	states/eV/atom

Material: Cs3Tb2MgTe6
Method: DFT, GGA-PBE
State: optimized geometry

abc: 7.8017 7.8017 9.3631
angles: 98.01 98.01 120.03
Last column: nearest neighbours and their distance in Å.
Fractional positions:
Te1 0.0623 0.3901 0.1872  1 Mg 3.06, 2 Tb 3.12
Te2 0.3901 0.0623 0.1872  1 Mg 3.06, 2 Tb 3.12
Te3 0.2652 0.2652 0.8116  1 Mg 3.07, 2 Tb 3.12
Te4 0.9377 0.6099 0.8128  1 Mg 3.06, 2 Tb 3.12
Te5 0.6099 0.9377 0.8128  1 Mg 3.06, 2 Tb 3.12
Te6 0.7348 0.7348 0.1884  1 Mg 3.07, 2 Tb 3.12
Cs1 0.1686 0.8314 0.5000  6 Te 3.82-3.84
Cs2 0.8314 0.1686 0.5000  6 Te 3.82-3.84
Cs3 0.5000 0.5000 0.5000  6 Te 3.82-3.85
Mg1 0.0000 0.0000 0.0000  6 Te 3.06-3.07
Tb1 0.3337 0.6663 0.0000  6 Te 3.12
Tb2 0.6663 0.3337 0.0000  6 Te 3.12

Values from the calculation:
magnetic moment	0.000	μB per cell
ρ	5.28	g/cm³
uncorrected energy	-3.837	eV/atom
D(E_F)	0.7159	states/eV/atom
uncorrected formation energy	-110.8	kJ per mole of atoms

Material: BaSbBr2
Method: DFT, GGA-PBE
State: optimized geometry

abc: 5.8201 5.8201 5.8201
angles: 60.00 60.00 60.00
Last column: nearest neighbours and their distance in Å.
Fractional positions:
Br1 0.7500 0.7500 0.7500  4 Ba 3.56, 4 Sb 3.56
Br2 0.2500 0.2500 0.2500  4 Ba 3.56, 4 Sb 3.56
Sb1 0.0000 0.0000 0.0000  8 Br 3.56
Ba1 0.5000 0.5000 0.5000  8 Br 3.56

Values from the calculation:
magnetic moment	2.959	μB per cell
ρ	4.99	g/cm³
uncorrected energy	-3.247	eV/atom
D(E_F)	0.2279	states/eV/atom
uncorrected formation energy	-86.8	kJ per mole of atoms

Material: K2Ge2Te3
Method: DFT, GGA-PBE
State: optimized geometry

abc: 8.6567 8.7052 7.9503
angles: 90.00 68.25 90.00
Last column: nearest neighbours and their distance in Å.
Fractional positions:
Ge1 0.9677 0.8618 0.3319  3 Te 2.75-2.87
Ge2 0.4677 0.6382 0.3319  3 Te 2.75-2.87
Ge3 0.0323 0.1382 0.6681  3 Te 2.75-2.87
Ge4 0.5323 0.3618 0.6681  3 Te 2.75-2.87
Te1 0.2540 0.9554 0.4069  2 Ge 2.75-2.87
Te2 0.7540 0.5446 0.4069  2 Ge 2.75-2.87
Te3 0.5000 0.5000 0.0000  2 Ge 2.82
Te4 0.7460 0.0446 0.5931  2 Ge 2.75-2.87
Te5 0.2460 0.4554 0.5931  2 Ge 2.75-2.87
Te6 0.0000 0.0000 0.0000  2 Ge 2.82
K1 0.3798 0.8107 0.7843  5 Te 3.51-3.81, 1 Ge 3.71
K2 0.6202 0.1893 0.2157  5 Te 3.51-3.81, 1 Ge 3.71
K3 0.8798 0.6893 0.7843  5 Te 3.51-3.81, 1 Ge 3.71
K4 0.1202 0.3107 0.2157  5 Te 3.51-3.81, 1 Ge 3.71

Values from the calculation:
magnetic moment	0.000	μB per cell
ρ	3.62	g/cm³
uncorrected energy	-3.447	eV/atom
uncorrected formation energy	-45.1	kJ per mole of atoms

Material: Cs5Ba3I12
Method: DFT, GGA-PBE
State: optimized geometry

abc: 18.6170 18.6170 18.6170
angles: 109.47 109.47 109.47
Last column: nearest neighbours and their distance in Å.
Fractional positions:
Ba1 0.3750 0.6250 0.2500  4 I 3.52
Ba2 0.6250 0.2500 0.3750  4 I 3.52
Ba3 0.8750 0.1250 0.2500  4 I 3.52
Ba4 0.3750 0.7500 0.6250  4 I 3.52
Ba5 0.2500 0.6250 0.8750  4 I 3.52
Ba6 0.7500 0.3750 0.1250  4 I 3.52
Ba7 0.1250 0.2500 0.8750  4 I 3.52
Ba8 0.6250 0.3750 0.7500  4 I 3.52
Ba9 0.7500 0.8750 0.6250  4 I 3.52
Ba10 0.2500 0.1250 0.3750  4 I 3.52
Ba11 0.8750 0.7500 0.1250  4 I 3.52
Ba12 0.1250 0.8750 0.7500  4 I 3.52
Cs1 0.3750 0.2500 0.1250  4 I 3.65
Cs2 0.0000 0.5000 0.5000  6 I 3.81
Cs3 0.2500 0.8750 0.1250  4 I 3.65
Cs4 0.8750 0.2500 0.6250  4 I 3.65
Cs5 0.2500 0.3750 0.6250  4 I 3.65
Cs6 0.3750 0.1250 0.7500  4 I 3.65
Cs7 0.5000 0.5000 0.5000  6 I 3.81
Cs8 0.5000 0.5000 0.0000  6 I 3.81
Cs9 0.5000 0.0000 0.0000  6 I 3.81
Cs10 0.0000 0.5000 0.0000  6 I 3.81
Cs11 0.0000 0.0000 0.0000  6 I 3.81
Cs12 0.1250 0.3750 0.2500  4 I 3.65
Cs13 0.6250 0.7500 0.8750  4 I 3.65
Cs14 0.1250 0.7500 0.3750  4 I 3.65
Cs15 0.5000 0.0000 0.5000  6 I 3.81
Cs16 0.7500 0.1250 0.8750  4 I 3.65
Cs17 0.6250 0.8750 0.2500  4 I 3.65
Cs18 0.8750 0.6250 0.7500  4 I 3.65
Cs19 0.7500 0.6250 0.3750  4 I 3.65
Cs20 0.0000 0.0000 0.5000  6 I 3.81
I1 0.1709 0.1089 0.7413  1 Ba 3.52, 2 Cs 3.65-3.81, 1 I 3.88
I2 0.9380 0.8291 0.5704  1 Ba 3.52, 2 Cs 3.65-3.81, 1 I 3.88
I3 0.6709 0.2413 0.6089  1 Ba 3.52, 2 Cs 3.65-3.81, 1 I 3.88
I4 0.9296 0.3676 0.2587  1 Ba 3.52, 2 Cs 3.65-3.81, 1 I 3.88
I5 0.5704 0.3291 0.9380  1 Ba 3.52, 2 Cs 3.65-3.81, 1 I 3.88
I6 0.3676 0.4380 0.1089  1 Ba 3.52, 2 Cs 3.65-3.81, 1 I 3.88
I7 0.6089 0.8676 0.4380  1 Ba 3.52, 2 Cs 3.65-3.81, 1 I 3.88
I8 0.5620 0.6324 0.3911  1 Ba 3.52, 2 Cs 3.65-3.81, 1 I 3.88
I9 0.1324 0.7413 0.5704  1 Ba 3.52, 2 Cs 3.65-3.81, 1 I 3.88
I10 0.7587 0.3291 0.8911  1 Ba 3.52, 2 Cs 3.65-3.81, 1 I 3.88
I11 0.0704 0.6324 0.7413  1 Ba 3.52, 2 Cs 3.65-3.81, 1 I 3.88
I12 0.4296 0.6709 0.0620  1 Ba 3.52, 2 Cs 3.65-3.81, 1 I 3.88
I13 0.7587 0.4296 0.3676  1 Ba 3.52, 2 Cs 3.65-3.81, 1 I 3.88
I14 0.5620 0.9296 0.6709  1 Ba 3.52, 2 Cs 3.65-3.81, 1 I 3.88
I15 0.7413 0.1324 0.0704  1 Ba 3.52, 2 Cs 3.65-3.81, 1 I 3.88
I16 0.0704 0.4380 0.8291  1 Ba 3.52, 2 Cs 3.65-3.81, 1 I 3.88
I17 0.3676 0.9296 0.7587  1 Ba 3.52, 2 Cs 3.65-3.81, 1 I 3.88
I18 0.2413 0.6709 0.1089  1 Ba 3.52, 2 Cs 3.65-3.81, 1 I 3.88
I19 0.1089 0.1709 0.2413  1 Ba 3.52, 2 Cs 3.65-3.81, 1 I 3.88
I20 0.3291 0.5704 0.4380  1 Ba 3.52, 2 Cs 3.65-3.81, 1 I 3.88
I21 0.4380 0.3676 0.6089  1 Ba 3.52, 2 Cs 3.65-3.81, 1 I 3.88
I22 0.3291 0.7587 0.3911  1 Ba 3.52, 2 Cs 3.65-3.81, 1 I 3.88
I23 0.8676 0.2587 0.4296  1 Ba 3.52, 2 Cs 3.65-3.81, 1 I 3.88
I24 0.0620 0.1709 0.4296  1 Ba 3.52, 2 Cs 3.65-3.81, 1 I 3.88
I25 0.3911 0.2587 0.3291  1 Ba 3.52, 2 Cs 3.65-3.81, 1 I 3.88
I26 0.6709 0.4296 0.5620  1 Ba 3.52, 2 Cs 3.65-3.81, 1 I 3.88
I27 0.6089 0.7413 0.6709  1 Ba 3.52, 2 Cs 3.65-3.81, 1 I 3.88
I28 0.8676 0.6089 0.9380  1 Ba 3.52, 2 Cs 3.65-3.81, 1 I 3.88
I29 0.2587 0.8676 0.9296  1 Ba 3.52, 2 Cs 3.65-3.81, 1 I 3.88
I30 0.9380 0.1089 0.8676  1 Ba 3.52, 2 Cs 3.65-3.81, 1 I 3.88
I31 0.5704 0.2413 0.1324  1 Ba 3.52, 2 Cs 3.65-3.81, 1 I 3.88
I32 0.0620 0.8911 0.1324  1 Ba 3.52, 2 Cs 3.65-3.81, 1 I 3.88
I33 0.6324 0.5620 0.8911  1 Ba 3.52, 2 Cs 3.65-3.81, 1 I 3.88
I34 0.6324 0.0704 0.2413  1 Ba 3.52, 2 Cs 3.65-3.81, 1 I 3.88
I35 0.4380 0.0704 0.3291  1 Ba 3.52, 2 Cs 3.65-3.81, 1 I 3.88
I36 0.2587 0.3911 0.8291  1 Ba 3.52, 2 Cs 3.65-3.81, 1 I 3.88
I37 0.4296 0.7587 0.8676  1 Ba 3.52, 2 Cs 3.65-3.81, 1 I 3.88
I38 0.7413 0.6089 0.1709  1 Ba 3.52, 2 Cs 3.65-3.81, 1 I 3.88
I39 0.8291 0.8911 0.2587  1 Ba 3.52, 2 Cs 3.65-3.81, 1 I 3.88
I40 0.8911 0.0620 0.6324  1 Ba 3.52, 2 Cs 3.65-3.81, 1 I 3.88
I41 0.3911 0.1324 0.5620  1 Ba 3.52, 2 Cs 3.65-3.81, 1 I 3.88
I42 0.2413 0.5704 0.6324  1 Ba 3.52, 2 Cs 3.65-3.81, 1 I 3.88
I43 0.1089 0.9380 0.3676  1 Ba 3.52, 2 Cs 3.65-3.81, 1 I 3.88
I44 0.8911 0.8291 0.7587  1 Ba 3.52, 2 Cs 3.65-3.81, 1 I 3.88
I45 0.1709 0.0620 0.9296  1 Ba 3.52, 2 Cs 3.65-3.81, 1 I 3.88
I46 0.9296 0.5620 0.1709  1 Ba 3.52, 2 Cs 3.65-3.81, 1 I 3.88
I47 0.8291 0.9380 0.0704  1 Ba 3.52, 2 Cs 3.65-3.81, 1 I 3.88
I48 0.1324 0.3911 0.0620  1 Ba 3.52, 2 Cs 3.65-3.81, 1 I 3.88

Values from the calculation:
magnetic moment	2.137	μB per cell
ρ	3.48	g/cm³
uncorrected energy	-2.849	eV/atom
D(E_F)	1.4947	states/eV/atom
uncorrected formation energy	-136.7	kJ per mole of atoms

Material: Pm16Pr6Ho7
Method: DFT, GGA-PBE
State: optimized geometry

abc: 11.3464 11.3464 11.3464
angles: 60.00 60.00 60.00
Last column: nearest neighbours and their distance in Å.
Fractional positions:
Pm1 0.3770 0.8743 0.8743  4 Ho 3.47-3.49, 3 Pm 3.62, 3 Pr 3.72
Pm2 0.9551 0.3483 0.3483  3 Ho 3.30, 3 Pm 3.62, 3 Pr 3.64
Pm3 0.1257 0.6230 0.1257  4 Ho 3.47-3.49, 3 Pm 3.62, 3 Pr 3.72
Pm4 0.3483 0.3483 0.9551  3 Ho 3.30, 3 Pm 3.62, 3 Pr 3.64
Pm5 0.3483 0.3483 0.3483  3 Ho 3.30, 3 Pm 3.62, 3 Pr 3.64
Pm6 0.8743 0.8743 0.8743  4 Ho 3.47-3.49, 3 Pm 3.62, 3 Pr 3.72
Pm7 0.6230 0.1257 0.1257  4 Ho 3.47-3.49, 3 Pm 3.62, 3 Pr 3.72
Pm8 0.6517 0.6517 0.0449  3 Ho 3.30, 3 Pm 3.62, 3 Pr 3.64
Pm9 0.3483 0.9551 0.3483  3 Ho 3.30, 3 Pm 3.62, 3 Pr 3.64
Pm10 0.1257 0.1257 0.6230  4 Ho 3.47-3.49, 3 Pm 3.62, 3 Pr 3.72
Pm11 0.8743 0.8743 0.3770  4 Ho 3.47-3.49, 3 Pm 3.62, 3 Pr 3.72
Pm12 0.1257 0.1257 0.1257  4 Ho 3.47-3.49, 3 Pm 3.62, 3 Pr 3.72
Pm13 0.0449 0.6517 0.6517  3 Ho 3.30, 3 Pm 3.62, 3 Pr 3.64
Pm14 0.6517 0.6517 0.6517  3 Ho 3.30, 3 Pm 3.62, 3 Pr 3.64
Pm15 0.8743 0.3770 0.8743  4 Ho 3.47-3.49, 3 Pm 3.62, 3 Pr 3.72
Pm16 0.6517 0.0449 0.6517  3 Ho 3.30, 3 Pm 3.62, 3 Pr 3.64
Pr1 0.2744 0.2744 0.7256  8 Pm 3.64-3.72, 4 Ho 4.03
Pr2 0.7256 0.2744 0.7256  8 Pm 3.64-3.72, 4 Ho 4.03
Pr3 0.2744 0.7256 0.2744  8 Pm 3.64-3.72, 4 Ho 4.03
Pr4 0.7256 0.2744 0.2744  8 Pm 3.64-3.72, 4 Ho 4.03
Pr5 0.7256 0.7256 0.2744  8 Pm 3.64-3.72, 4 Ho 4.03
Pr6 0.2744 0.7256 0.7256  8 Pm 3.64-3.72, 4 Ho 4.03
Ho1 0.5000 0.0000 0.0000  8 Pm 3.30-3.47
Ho2 0.0000 0.0000 0.0000  8 Pm 3.49
Ho3 0.5000 0.0000 0.5000  8 Pm 3.30-3.47
Ho4 0.0000 0.5000 0.5000  8 Pm 3.30-3.47
Ho5 0.0000 0.0000 0.5000  8 Pm 3.30-3.47
Ho6 0.0000 0.5000 0.0000  8 Pm 3.30-3.47
Ho7 0.5000 0.5000 0.0000  8 Pm 3.30-3.47

Values from the calculation:
magnetic moment	0.003	μB per cell
ρ	6.94	g/cm³
DFT formation energy	206	meV/atom
uncorrected energy	-4.509	eV/atom
D(E_F)	1.5610	states/eV/atom